Entry from OQMD: a relaxed BaCo3O4 crystal (PBE with a Hubbard U).

## Properties
For the total energy, the calculation gives -90.31 eV for the cell shown.

Structure (POSCAR):
```
BaCo3O4
1.0
5.944 0.000 0.000
0.000 5.944 0.000
0.000 0.000 5.944
Co O Ba
6 8 2
Cartesian
4.458 0.000 2.972
2.972 4.458 0.000
0.000 2.972 1.486
1.486 0.000 2.972
2.972 1.486 0.000
0.000 2.972 4.458
1.486 4.458 1.486
1.486 1.486 4.458
4.458 1.486 1.486
1.486 1.486 1.486
1.486 4.458 4.458
4.458 1.486 4.458
4.458 4.458 4.458
4.458 4.458 1.486
0.000 0.000 0.000
2.972 2.972 2.972
```